! AgPtAu6 | the Alexandria database | PBE | relaxed; values from VASP
&SYSTEM
  ibrav = 0, nat = 8, ntyp = 3
/
ATOMIC_SPECIES
Au 196.97 Au.upf
Pt 195.08 Pt.upf
Ag 107.87 Ag.upf
CELL_PARAMETERS angstrom
-0.9498 5.4318 0.4677
-4.2387 -0.5014 3.5225
3.0304 0.6785 4.5806
ATOMIC_POSITIONS angstrom
Au -1.9290 0.7131 2.6910
Au -0.2290 4.8958 5.8798
Pt 0.0000 0.0000 0.0000
Au 0.7851 1.1537 3.0860
Au -1.4570 2.6805 7.0204
Au -0.7010 2.9285 1.5504
Au -2.9431 4.4553 5.4847
Ag -1.0790 2.8045 4.2854
! - magnetization (Bohr magnetons per cell) = 0.000
! - formation energy (eV per atom) = 0.2588
! - raw total energy (eV/atom) = -3.31
! - mass density (g/cm3) = 14.7